First-principles (GGA+U) data for NbFeO3 after structural relaxation, as listed in Alexandria.

Results
density of states at the Fermi level	0.642	states/eV per atom
uncorrected energy	-33.566	eV/f.u.
total moment	0.7	Bohr magnetons per cell

Unit cell a=3.653 b=3.653 c=3.653 alpha=90.00 beta=90.00 gamma=90.00
Positions (direct):
Nb 0.500 0.500 0.500
Fe 0.000 0.000 0.000
O 0.000 0.500 0.000
O 0.000 0.000 0.500
O 0.500 0.000 0.000